Record 1
A plane-wave DFT calculation with PBE was carried out for an optimized crystal structure of Ru5C.

Calculated formation energy, meV per atom: 1753

a b c (Å): 4.829 4.829 4.633
angles (deg): 90.00 90.00 120.00
Positions (direct):
Ru: 0.000 0.500 0.000
Ru: 0.333 0.667 0.500
Ru: 0.500 0.000 0.000
Ru: 0.500 0.500 0.000
Ru: 0.667 0.333 0.500
C: 0.000 0.000 0.500



Record 2
A plane-wave DFT calculation with PBE was carried out for an optimized crystal structure of Nd8GaSi2.

Raw total energy, eV/cell: -55.47

a b c (Å): 9.872 9.872 7.045
angles (deg): 103.15 103.15 28.97
Positions (direct):
Nd: 0.024 0.024 0.273
Nd: 0.212 0.212 0.830
Nd: 0.336 0.336 0.511
Nd: 0.406 0.406 0.024
Nd: 0.594 0.594 0.976
Nd: 0.664 0.664 0.489
Nd: 0.788 0.788 0.170
Nd: 0.976 0.976 0.727
Ga: 0.500 0.500 0.500
Si: 0.183 0.183 0.243
Si: 0.817 0.817 0.757



Record 3
A plane-wave DFT calculation with PBE was carried out for an optimized crystal structure of CoRuSe2.

Raw total energy, eV/cell: -89.84

a b c (Å): 6.207 6.207 6.207
angles (deg): 90.00 90.00 90.00
Positions (direct):
Co: 0.000 0.000 0.000
Co: 0.000 0.500 0.500
Co: 0.500 0.000 0.500
Co: 0.500 0.500 0.000
Ru: 0.000 0.000 0.500
Ru: 0.000 0.500 0.000
Ru: 0.500 0.000 0.000
Ru: 0.500 0.500 0.500
Se: 0.250 0.250 0.250
Se: 0.250 0.250 0.750
Se: 0.250 0.750 0.250
Se: 0.250 0.750 0.750
Se: 0.750 0.250 0.250
Se: 0.750 0.250 0.750
Se: 0.750 0.750 0.250
Se: 0.750 0.750 0.750



Record 4
A plane-wave DFT calculation with PBE was carried out for an optimized crystal structure of ErCd3Ni8.

Calculated formation energy, meV per atom: -155

a b c (Å): 8.531 8.531 8.531
angles (deg): 33.61 33.61 33.61
Positions (direct):
Er: 0.000 0.000 0.000
Cd: 0.379 0.379 0.379
Cd: 0.502 0.502 0.502
Cd: 0.873 0.873 0.873
Ni: 0.188 0.188 0.188
Ni: 0.438 0.438 0.938
Ni: 0.438 0.938 0.438
Ni: 0.439 0.938 0.938
Ni: 0.688 0.688 0.688
Ni: 0.938 0.438 0.438
Ni: 0.938 0.439 0.938
Ni: 0.938 0.938 0.439



Question: Number 4 is which compound?
Answer: ErCd3Ni8